The following is a PBE calculation of Be2SnOsCl after structural relaxation, from Alexandria.

a = 4.0300 Å, b = 4.0300 Å, c = 4.9123 Å
α = 90.00°, β = 90.00°, γ = 90.00°
Last column: nearest neighbours and their distance in Å.
Element x y z (fractional)
Be1 0.0000 0.5000 0.0000  2 Cl 2.01
Be2 0.5000 0.0000 0.0000  2 Cl 2.01
Sn1 0.0000 0.0000 0.5000  4 Os 2.85, 8 Be 3.18
Os1 0.5000 0.5000 0.5000  2 Cl 2.46
Cl1 0.5000 0.5000 0.0000  4 Be 2.01

Calculated values
Its uncorrected formation energy is 1225.2 meV per atom.